No. 1
VASP calculation (PBEsol) on an optimized crystal structure of LaAg2Mo.

a = 2.8792 Å, b = 2.8792 Å, c = 9.1967 Å
α = 90.00°, β = 90.00°, γ = 90.00°
Closest atoms and distances in Å follow each position.
Space group P4mm (No. 99)
Inequivalent atoms, fractional coordinates:
1 La 0.0000 0.0000 0.0000 x1  4 La 2.88
2 Ag 0.0000 0.0000 0.4960 x1  4 Mo 2.85, 8 Ag 2.86-2.88
3 Ag 0.5000 0.5000 0.7152 x1  8 Ag 2.86-2.88
4 Mo 0.5000 0.5000 0.2785 x1  4 Ag 2.85, 4 Mo 2.88

Computed properties:
Formation enthalpy at 0 K = 1.43 eV per formula unit
Crystal system = tetragonal
Total moment = 0.00 μB per cell
Energy relative to the lowest polymorph listed for this composition = 0 meV per atom

=====

No. 2
VASP calculation (PBEsol) on an optimized crystal structure of YCd2.

a = 5.0307 Å, b = 5.0307 Å, c = 6.3066 Å
α = 90.00°, β = 90.00°, γ = 120.00°
Closest atoms and distances in Å follow each position.
Space group P-3m1 (No. 164)
Inequivalent atoms, fractional coordinates:
1 Y 0.3333 0.6667 0.3041 x2  8 Cd 3.00-3.22
2 Cd 0.0000 0.0000 0.0000 x1  8 Cd 3.13-3.15, 6 Y 3.48
3 Cd 0.0000 0.0000 0.5000 x1  8 Cd 3.15-3.52, 6 Y 3.16
4 Cd 0.3333 0.6667 0.8147 x2  5 Y 3.00-3.22, 3 Cd 3.13

Computed properties:
Formation enthalpy at 0 K = -1.00 eV per formula unit
Crystal system = trigonal
Total moment = 0.00 μB per cell

=====

No. 3
VASP calculation (PBEsol) on an optimized crystal structure of AgRuRh2.

a = 2.7040 Å, b = 2.7040 Å, c = 26.7430 Å
α = 90.00°, β = 90.00°, γ = 120.00°
Closest atoms and distances in Å follow each position.
Space group R-3m (No. 166, hexagonal axes)
Inequivalent atoms, fractional coordinates:
1 Ag 0.0000 0.0000 0.0000 x3  6 Ag 2.70, 6 Rh 2.83
2 Ru 0.0000 0.0000 0.5000 x3  6 Rh 2.62, 6 Ru 2.70
3 Rh 0.0000 0.0000 0.2452 x6  3 Ru 2.62, 6 Rh 2.70, 3 Ag 2.83

Computed properties:
Formation enthalpy at 0 K = 0.48 eV per formula unit
Crystal system = trigonal
Total moment = 0.00 μB per cell
Energy relative to the lowest polymorph listed for this composition = 0 meV per atom

=====

No. 4
VASP calculation (PBEsol) on an optimized crystal structure of WBr.

a = 6.6006 Å, b = 6.6006 Å, c = 6.6006 Å
α = 90.00°, β = 90.00°, γ = 90.00°
Closest atoms and distances in Å follow each position.
Space group Fd-3m (No. 227, origin choice 2)
Inequivalent atoms, fractional coordinates:
1 W 0.1250 0.1250 0.1250 x8  4 W 2.86, 4 Br 2.86
2 Br 0.1250 0.1250 0.6250 x8  4 W 2.86, 4 Br 2.86

Computed properties:
Crystal system = cubic
Total moment = 0.00 μB per cell
E_form (uncorrected) = 1.51 eV per atom
Energy relative to the lowest polymorph listed for this composition = 1360 meV per atom

=====

No. 5
VASP calculation (PBEsol) on an optimized crystal structure of Rb2Mo2P2O11.

a = 9.9382 Å, b = 10.1242 Å, c = 10.0373 Å
α = 90.00°, β = 97.67°, γ = 90.00°
Closest atoms and distances in Å follow each position.
Space group P2_1 (No. 4)
Inequivalent atoms, fractional coordinates:
1 Rb 0.0003 0.0000 0.2494 x2  8 O 2.76-2.88
2 Rb 0.2334 0.8144 0.9450 x2  7 O 2.92-3.12
3 Rb 0.2358 0.6921 0.4715 x2  6 O 2.88-3.20
4 Rb 0.4923 0.5652 0.2461 x2  6 O 2.79-3.10
5 Mo 0.0764 0.1782 0.9007 x2  2 O 1.70-1.85
6 Mo 0.0796 0.3240 0.3997 x2  2 O 1.70-1.85
7 Mo 0.3456 0.0872 0.3858 x2  2 O 1.69-1.84
8 Mo 0.3470 0.4107 0.8879 x2  2 O 1.69-1.84
9 P 0.1246 0.0787 0.6071 x2  4 O 1.55
10 P 0.1290 0.4230 0.1079 x2  4 O 1.55
11 P 0.3948 0.1205 0.0683 x2  4 O 1.54-1.56
12 P 0.3976 0.3746 0.5687 x2  4 O 1.54-1.56
13 O 0.0233 0.9815 0.5268 x2  1 P 1.55
14 O 0.0293 0.5211 0.0270 x2  1 P 1.55
15 O 0.0682 0.2199 0.5767 x2  1 P 1.55
16 O 0.0704 0.7614 0.6761 x2  1 Mo 1.70
17 O 0.0709 0.2823 0.0786 x2  1 P 1.55
18 O 0.0734 0.7418 0.1734 x2  1 Mo 1.70
19 O 0.1307 0.0519 0.7601 x2  1 P 1.55
20 O 0.1353 0.4509 0.2608 x2  1 P 1.55
21 O 0.1947 0.3056 0.8540 x2  2 Mo 1.84-1.85
22 O 0.1962 0.1950 0.3523 x2  2 Mo 1.84-1.85
23 O 0.2430 0.0913 0.0254 x2  1 P 1.54
24 O 0.2464 0.4056 0.5258 x2  1 P 1.54
25 O 0.2697 0.0545 0.5719 x2  1 P 1.55
26 O 0.2749 0.4450 0.0730 x2  1 P 1.55
27 O 0.2810 0.9416 0.3247 x2  1 Mo 1.69
28 O 0.2843 0.5553 0.8222 x2  1 Mo 1.69
29 O 0.4288 0.1447 0.2217 x2  1 P 1.55
30 O 0.4301 0.3495 0.7228 x2  1 P 1.56
31 O 0.4432 0.2399 0.9905 x2  1 P 1.55
32 O 0.4451 0.2515 0.4964 x2  1 P 1.55
33 O 0.4713 0.9947 0.0283 x2  1 P 1.56
34 O 0.4749 0.4994 0.5288 x2  1 P 1.56

Computed properties:
Crystal system = monoclinic
Total moment = 0.00 μB per cell
E_form (uncorrected) = -2.18 eV per atom

=====

No. 6
VASP calculation (PBEsol) on an optimized crystal structure of KSr3Au.

a = 6.1643 Å, b = 6.1643 Å, c = 6.1643 Å
α = 90.00°, β = 90.00°, γ = 90.00°
Closest atoms and distances in Å follow each position.
Space group Pm-3m (No. 221)
Inequivalent atoms, fractional coordinates:
1 K 0.0000 0.0000 0.0000 x1  12 Sr 4.36
2 Sr 0.0000 0.5000 0.5000 x3  2 Au 3.08
3 Au 0.5000 0.5000 0.5000 x1  6 Sr 3.08

Computed properties:
Formation enthalpy at 0 K = -1.41 eV per formula unit
Crystal system = cubic
Total moment = 0.00 μB per cell

=====

No. 7
VASP calculation (PBEsol) on an optimized crystal structure of AgPt3.

a = 2.7381 Å, b = 4.6502 Å, c = 4.8069 Å
α = 90.00°, β = 90.00°, γ = 90.00°
Closest atoms and distances in Å follow each position.
Space group Pmm2 (No. 25)
Inequivalent atoms, fractional coordinates:
1 Ag 0.0000 0.0000 0.0000 x1  2 Ag 2.74, 10 Pt 2.76-2.84
2 Pt 0.0000 0.5000 0.3385 x1  10 Pt 2.73-2.80, 2 Ag 2.84
3 Pt 0.5000 0.0000 0.4975 x1  8 Pt 2.74-2.82, 4 Ag 2.76-2.78
4 Pt 0.5000 0.5000 0.8298 x1  8 Pt 2.73-2.82, 4 Ag 2.82

Computed properties:
Formation enthalpy at 0 K = 0.22 eV per formula unit
Crystal system = orthorhombic
Total moment = 0.00 μB per cell

=====

No. 8
VASP calculation (PBEsol) on an optimized crystal structure of Zr2AlAgMo.

a = 4.9986 Å, b = 4.9986 Å, c = 4.7605 Å
α = 90.00°, β = 90.00°, γ = 90.00°
Closest atoms and distances in Å follow each position.
Space group P4/mmm (No. 123)
Inequivalent atoms, fractional coordinates:
1 Zr 0.0000 0.5000 0.0000 x2  2 Ag 2.50
2 Al 0.0000 0.0000 0.5000 x1  8 Zr 3.45, 4 Mo 3.53
3 Ag 0.5000 0.5000 0.0000 x1  2 Mo 2.38, 4 Zr 2.50
4 Mo 0.5000 0.5000 0.5000 x1  2 Ag 2.38

Computed properties:
Formation enthalpy at 0 K = 6.63 eV per formula unit
Crystal system = tetragonal
Total moment = 0.24 μB per cell

=====

No. 9
VASP calculation (PBEsol) on an optimized crystal structure of BaSrRu2.

a = 7.1318 Å, b = 7.1318 Å, c = 7.1318 Å
α = 90.00°, β = 90.00°, γ = 90.00°
Closest atoms and distances in Å follow each position.
Space group F-43m (No. 216)
Inequivalent atoms, fractional coordinates:
1 Ba 0.0000 0.0000 0.0000 x4  4 Sr 3.09, 4 Ru 3.09
2 Sr 0.2500 0.2500 0.2500 x4  4 Ru 3.09, 4 Ba 3.09
3 Ru 0.0000 0.0000 0.5000 x4  4 Ru 3.09, 4 Sr 3.09
4 Ru 0.2500 0.2500 0.7500 x4  4 Ba 3.09, 4 Ru 3.09

Computed properties:
Formation enthalpy at 0 K = 4.14 eV per formula unit
Crystal system = cubic
Total moment = 11.73 μB per cell

=====

No. 10
VASP calculation (PBEsol) on an optimized crystal structure of Ta3AlPb.

a = 4.7076 Å, b = 4.7076 Å, c = 4.7076 Å
α = 90.00°, β = 90.00°, γ = 90.00°
Closest atoms and distances in Å follow each position.
Space group Pm-3m (No. 221)
Inequivalent atoms, fractional coordinates:
1 Ta 0.0000 0.0000 0.5000 x3  2 Al 2.35
2 Al 0.0000 0.0000 0.0000 x1  6 Ta 2.35
3 Pb 0.5000 0.5000 0.5000 x1  12 Ta 3.33

Computed properties:
Formation enthalpy at 0 K = 6.65 eV per formula unit
Crystal system = cubic
Total moment = 0.00 μB per cell
Energy relative to the lowest polymorph listed for this composition = 0 meV per atom

=====

No. 11
VASP calculation (PBEsol) on an optimized crystal structure of BaZrGeIr2.

a = 4.9463 Å, b = 4.9463 Å, c = 5.1839 Å
α = 90.00°, β = 90.00°, γ = 90.00°
Closest atoms and distances in Å follow each position.
Space group P4/mmm (No. 123)
Inequivalent atoms, fractional coordinates:
1 Ba 0.0000 0.0000 0.0000 x1  4 Ge 3.50, 8 Ir 3.58
2 Zr 0.5000 0.5000 0.5000 x1  4 Ir 2.47, 2 Ge 2.59
3 Ge 0.5000 0.5000 0.0000 x1  2 Zr 2.59
4 Ir 0.0000 0.5000 0.5000 x2  2 Zr 2.47

Computed properties:
Formation enthalpy at 0 K = 2.35 eV per formula unit
Crystal system = tetragonal
Total moment = 0.00 μB per cell

=====

No. 12
VASP calculation (PBEsol) on an optimized crystal structure of Mn2AlRe.

a = 2.8997 Å, b = 2.8997 Å, c = 5.7923 Å
α = 90.00°, β = 90.00°, γ = 90.00°
Closest atoms and distances in Å follow each position.
Space group P4/mmm (No. 123)
Inequivalent atoms, fractional coordinates:
1 Mn 0.0000 0.0000 0.2460 x2  4 Re 2.50, 4 Al 2.52
2 Al 0.5000 0.5000 0.5000 x1  8 Mn 2.52
3 Re 0.5000 0.5000 0.0000 x1  8 Mn 2.50

Computed properties:
Formation enthalpy at 0 K = -0.65 eV per formula unit
Crystal system = tetragonal
Total moment = 0.00 μB per cell

=====

No. 13
VASP calculation (PBEsol) on an optimized crystal structure of FePtBr.

a = 2.9723 Å, b = 2.9723 Å, c = 11.2667 Å
α = 90.00°, β = 90.00°, γ = 90.00°
Closest atoms and distances in Å follow each position.
Space group I4mm (No. 107)
Inequivalent atoms, fractional coordinates:
1 Fe 0.0000 0.0000 0.0000 x2  4 Pt 2.61, 4 Br 2.69
2 Pt 0.0000 0.0000 0.6368 x2  4 Fe 2.61
3 Br 0.0000 0.0000 0.3507 x2  4 Fe 2.69, 4 Br 2.97

Computed properties:
Crystal system = tetragonal
Total moment = 7.51 μB per cell
E_form (uncorrected) = 0.36 eV per atom

=====

No. 14
VASP calculation (PBEsol) on an optimized crystal structure of LiBeMo.

a = 2.6195 Å, b = 2.6195 Å, c = 10.7255 Å
α = 90.00°, β = 90.00°, γ = 90.00°
Closest atoms and distances in Å follow each position.
Space group I4mm (No. 107)
Inequivalent atoms, fractional coordinates:
1 Li 0.0000 0.0000 0.0000 x2  4 Be 2.45, 4 Li 2.62
2 Be 0.0000 0.0000 0.6491 x2  4 Li 2.45, 4 Mo 2.48, 4 Be 2.62
3 Mo 0.0000 0.0000 0.3023 x2  4 Be 2.48, 4 Mo 2.62

Computed properties:
Formation enthalpy at 0 K = 0.79 eV per formula unit
Crystal system = tetragonal
Total moment = 0.00 μB per cell
Energy relative to the lowest polymorph listed for this composition = 0 meV per atom

=====

No. 15
VASP calculation (PBEsol) on an optimized crystal structure of AlCr2S.

a = 6.5931 Å, b = 6.5931 Å, c = 5.1141 Å
α = 90.00°, β = 90.00°, γ = 90.00°
Closest atoms and distances in Å follow each position.
Space group I-42d (No. 122)
Inequivalent atoms, fractional coordinates:
1 Al 0.0000 0.0000 0.0000 x4  2 S 2.56, 8 Cr 2.74-2.80
2 Cr 0.1822 0.7500 0.6250 x8  2 S 2.14
3 S 0.0000 0.0000 0.5000 x4  4 Cr 2.14

Computed properties:
Crystal system = tetragonal
Total moment = 11.63 μB per cell
E_form (uncorrected) = 0.20 eV per atom

=====

No. 16
VASP calculation (PBEsol) on an optimized crystal structure of NiMoOs2.

a = 3.7512 Å, b = 3.7512 Å, c = 7.6554 Å
α = 90.00°, β = 90.00°, γ = 90.00°
Closest atoms and distances in Å follow each position.
Space group I-4m2 (No. 119)
Inequivalent atoms, fractional coordinates:
1 Ni 0.0000 0.0000 0.0000 x2  8 Os 2.65-2.68, 4 Mo 2.68
2 Mo 0.0000 0.5000 0.2500 x2  8 Os 2.65-2.68, 4 Ni 2.68
3 Os 0.0000 0.0000 0.5000 x2  4 Ni 2.65, 4 Mo 2.68, 4 Os 2.68
4 Os 0.0000 0.5000 0.7500 x2  4 Mo 2.65, 4 Ni 2.68, 4 Os 2.68

Computed properties:
Formation enthalpy at 0 K = 0.32 eV per formula unit
Crystal system = tetragonal
Total moment = 0.00 μB per cell
Energy relative to the lowest polymorph listed for this composition = 0 meV per atom

=====

No. 17
VASP calculation (PBEsol) on an optimized crystal structure of Al2IrW.

a = 9.3946 Å, b = 2.8507 Å, c = 4.5579 Å
α = 90.00°, β = 108.19°, γ = 90.00°
Closest atoms and distances in Å follow each position.
Space group Cm (No. 8)
Inequivalent atoms, fractional coordinates:
1 Al 0.0000 0.0000 0.0000 x2  3 Ir 2.60-2.71, 4 W 2.66-2.73, 4 Al 2.85
2 Al 0.2365 0.0000 0.6645 x2  4 Ir 2.62-2.76, 3 W 2.65-2.68, 4 Al 2.85
3 Ir 0.2436 0.5000 0.1517 x2  7 Al 2.60-2.76, 2 W 2.71, 2 Ir 2.85
4 W 0.4825 0.0000 0.4985 x2  7 Al 2.65-2.73, 2 Ir 2.71, 2 W 2.85

Computed properties:
Formation enthalpy at 0 K = -1.24 eV per formula unit
Crystal system = monoclinic
Total moment = 0.00 μB per cell
Energy relative to the lowest polymorph listed for this composition = 0 meV per atom

=====

No. 18
VASP calculation (PBEsol) on an optimized crystal structure of Gd.

a = 3.5521 Å, b = 3.5521 Å, c = 5.6793 Å
α = 90.00°, β = 90.00°, γ = 120.00°
Closest atoms and distances in Å follow each position.
Space group P6_3/mmc (No. 194)
Inequivalent atoms, fractional coordinates:
1 Gd 0.3333 0.6667 0.2500 x2  12 Gd 3.50-3.55

Computed properties:
Formation enthalpy at 0 K = 0.01 eV per formula unit
Crystal system = hexagonal
Total moment = 15.27 μB per cell
Energy relative to the lowest polymorph listed for this composition = 9 meV per atom

=====

No. 19
VASP calculation (PBEsol) on an optimized crystal structure of BeW2Se.

a = 3.1114 Å, b = 4.4828 Å, c = 8.2077 Å
α = 90.00°, β = 90.00°, γ = 90.00°
Closest atoms and distances in Å follow each position.
Space group Immm (No. 71)
Inequivalent atoms, fractional coordinates:
1 Be 0.0000 0.0000 0.0000 x2  4 W 2.49, 4 Se 2.73
2 W 0.0000 0.5000 0.2639 x4  2 Be 2.49, 2 Se 2.67, 4 W 2.74
3 Se 0.0000 0.0000 0.5000 x2  8 W 2.67-2.96, 4 Be 2.73

Computed properties:
Crystal system = orthorhombic
Total moment = 0.00 μB per cell
E_form (uncorrected) = 0.56 eV per atom
Energy relative to the lowest polymorph listed for this composition = 201 meV per atom

=====

No. 20
VASP calculation (PBEsol) on an optimized crystal structure of Er4Ni13C4.

a = 11.5201 Å, b = 11.7800 Å, c = 3.7784 Å
α = 90.00°, β = 90.00°, γ = 90.00°
Closest atoms and distances in Å follow each position.
Space group Cmmm (No. 65)
Inequivalent atoms, fractional coordinates:
1 Er 0.0000 0.1873 0.0000 x4  8 Ni 2.62-2.91
2 Er 0.1515 0.5000 0.0000 x4  5 Ni 2.59-2.87, 4 C 2.66
3 Ni 0.0000 0.0000 0.5000 x2  8 Ni 2.36-2.46
4 Ni 0.1072 0.3222 0.5000 x8  2 C 1.85-1.88
5 Ni 0.1233 0.0000 0.0000 x4  6 Ni 2.36-2.38, 3 Er 2.59-2.62
6 Ni 0.1826 0.1078 0.5000 x8  1 C 1.85
7 Ni 0.2500 0.2500 0.0000 x4  2 C 1.89
8 C 0.0000 0.4422 0.5000 x4  1 C 1.36
9 C 0.2500 0.2500 0.5000 x4  6 Ni 1.85-1.89

Computed properties:
Formation enthalpy at 0 K = -8.30 eV per formula unit
Crystal system = orthorhombic
Total moment = 0.00 μB per cell